# 1
Entry from Alexandria via LeMat-Bulk: a relaxed Sc5GaTe4 crystal (PBE).

Values from the calculation:
ΔE_f (raw) ... -10.32 eV per formula unit

Cell and atoms, written as POSCAR:
```
Sc5GaTe4
1.0
5.238 -0.006 2.518
2.613 6.537 1.258
-0.229 -0.001 7.144
Sc Ga Te
5 1 4
Cartesian
5.522 2.415 8.611
3.443 5.366 6.225
4.190 1.164 4.701
2.111 4.115 2.314
5.009 6.533 9.664
0.006 0.000 0.003
2.999 2.593 7.155
6.139 5.142 7.327
1.494 1.388 3.599
4.634 3.937 3.771
```

# 2
Entry from Alexandria via LeMat-Bulk: a relaxed VAsPdSe2 crystal (PBE).

Values from the calculation:
E above lowest polymorph ... 0.546 eV/atom
ΔE_f (raw) ... 4.07 eV per formula unit

Cell and atoms, written as POSCAR:
```
VAsPdSe2
1.0
-1.919 -4.499 -0.975
3.681 -0.865 -3.252
2.589 -1.846 3.421
As Se Pd V
1 2 1 1
Cartesian
1.295 -0.923 1.711
1.840 -0.433 -1.626
-0.960 -2.250 -0.487
0.000 0.000 0.000
2.175 -3.605 -0.403
```

# 3
Entry from Alexandria via LeMat-Bulk: a relaxed TaCl2F4 crystal (PBE).

Values from the calculation:
ΔE_f (raw) ... -15.91 eV per formula unit

Cell and atoms, written as POSCAR:
```
TaCl2F4
1.0
4.703 -3.273 -1.765
-3.775 8.445 0.187
-0.844 2.115 5.544
F Cl Ta
4 2 1
Cartesian
1.379 3.776 -0.370
-1.296 3.511 4.336
-1.748 7.050 4.399
1.831 0.236 -0.434
0.232 1.655 1.810
-0.149 5.632 2.155
0.000 0.000 0.000
```

# 4
Entry from Alexandria via LeMat-Bulk: a relaxed Tl2Cu3Se4 crystal (PBE).

Values from the calculation:
ΔE_f (raw) ... -1.30 eV per formula unit

Cell and atoms, written as POSCAR:
```
Tl2Cu3Se4
1.0
-4.048 -4.233 2.310
5.785 -1.756 -1.760
1.238 4.137 5.509
Tl Cu Se
2 3 4
Cartesian
1.500 -2.652 2.009
1.475 0.800 4.050
-2.024 -2.117 1.155
2.893 -0.878 -0.880
0.000 0.000 0.000
4.745 -1.857 0.416
-1.771 0.005 5.643
4.878 1.681 2.891
-1.904 -3.533 3.168
```

# 5
Entry from Alexandria via LeMat-Bulk: a relaxed Na2ZrTi2Se6 crystal (PBE).

Values from the calculation:
ΔE_f (raw) ... -13.59 eV per formula unit

Cell and atoms, written as POSCAR:
```
Na2ZrTi2Se6
1.0
6.434 -0.030 0.072
-3.206 5.579 0.072
-1.131 -1.944 7.203
Na Zr Ti Se
2 1 2 6
Cartesian
4.868 0.881 0.072
-1.640 4.667 0.072
-0.565 -0.972 3.601
-0.562 2.740 3.674
2.660 0.865 3.674
1.525 2.621 5.253
-1.678 0.917 5.183
0.572 0.984 2.095
1.627 -1.005 5.183
3.775 2.688 2.164
0.471 4.610 2.164
```

# 6
Entry from Alexandria via LeMat-Bulk: a relaxed LaSc2HgN crystal (PBE).

Values from the calculation:
ΔE_f (raw) ... -4.29 eV per formula unit

Cell and atoms, written as POSCAR:
```
LaSc2HgN
1.0
-2.369 3.596 1.510
-1.570 -2.496 3.483
3.935 1.420 2.791
Sc N Hg La
2 1 1 1
Cartesian
-0.785 -1.248 1.741
-1.184 1.798 0.755
0.000 0.000 0.000
-0.002 1.260 3.892
1.968 0.710 1.396
```

# 7
Entry from Alexandria via LeMat-Bulk: a relaxed CuAu2Br crystal (PBE).

Values from the calculation:
E above lowest polymorph ... 0.400 eV/atom
ΔE_f (raw) ... 1.83 eV per formula unit

Cell and atoms, written as POSCAR:
```
CuAu2Br
1.0
3.000 1.938 3.096
-1.631 1.847 4.033
0.875 -2.160 4.112
Au Cu Br
2 1 1
Cartesian
0.561 0.406 2.810
1.683 1.219 8.430
0.000 0.000 0.000
1.122 0.812 5.620
```

# 8
Entry from Alexandria via LeMat-Bulk: a relaxed TiZn2Bi2 crystal (PBE).

Values from the calculation:
Calculated formation energy ... 0.133 eV per atom
E above lowest polymorph ... 0.000 eV/atom

Cell and atoms, written as POSCAR:
```
TiZn2Bi2
1.0
3.501 0.000 0.000
0.000 3.501 0.000
1.750 1.750 9.848
Zn Bi Ti
2 2 1
Cartesian
3.501 1.750 4.924
1.750 3.501 4.924
1.750 1.750 1.837
3.501 3.501 8.011
0.000 0.000 0.000
```

# 9
Entry from Alexandria via LeMat-Bulk: a relaxed AlRe4Sb crystal (PBE).

Values from the calculation:
ΔE_f (raw) ... 3.39 eV per formula unit

Cell and atoms, written as POSCAR:
```
AlRe4Sb
1.0
0.000 3.730 3.730
3.730 0.000 3.730
3.730 3.730 0.000
Al Re Sb
1 4 1
Cartesian
0.000 0.000 0.000
2.798 4.663 4.663
4.663 4.663 2.798
4.663 2.798 4.663
2.798 2.798 2.798
5.596 5.596 5.596
```

# 10
Entry from Alexandria via LeMat-Bulk: a relaxed PrSn2Pt7 crystal (PBE).

Values from the calculation:
Calculated formation energy ... -0.245 eV per atom

Cell and atoms, written as POSCAR:
```
PrSn2Pt7
1.0
4.560 0.000 0.000
0.000 7.720 -0.512
0.000 -3.865 6.702
Pr Sn Pt
1 2 7
Cartesian
0.000 0.000 0.000
2.280 4.248 1.650
2.280 -0.393 4.541
0.000 5.328 0.978
0.000 -1.473 5.213
2.280 -0.519 1.912
2.280 4.374 4.279
2.280 1.945 0.378
2.280 1.910 5.813
2.280 1.928 3.095
```

# 11
Entry from Alexandria via LeMat-Bulk: a relaxed DyEr3Ir8 crystal (PBE).

Values from the calculation:
Calculated formation energy ... -0.824 eV per atom
E above lowest polymorph ... 0.005 eV/atom

Cell and atoms, written as POSCAR:
```
DyEr3Ir8
1.0
-4.117 1.923 2.817
-1.631 -2.531 4.418
3.589 4.588 7.188
Dy Er Ir
1 3 8
Cartesian
-3.685 1.188 9.024
0.986 3.787 9.003
3.587 4.585 7.186
-1.077 1.993 7.213
-3.904 1.554 5.919
-0.859 1.625 10.318
-1.844 0.592 4.510
-2.919 2.587 11.727
0.493 1.894 4.501
-0.587 3.884 11.712
-2.660 -0.674 6.720
-2.103 3.853 9.517
```

# 12
Entry from Alexandria via LeMat-Bulk: a relaxed KTiTl2Bi crystal (PBE).

Values from the calculation:
Calculated formation energy ... -0.036 eV per atom

Cell and atoms, written as POSCAR:
```
KTiTl2Bi
1.0
5.547 0.000 0.000
0.000 5.547 0.000
0.000 0.000 5.448
K Tl Bi Ti
1 2 1 1
Cartesian
2.774 2.774 2.724
0.000 2.774 0.000
2.774 0.000 0.000
0.000 0.000 2.724
0.000 0.000 0.000
```

# 13
Entry from Alexandria via LeMat-Bulk: a relaxed Li2PuInSe4 crystal (PBE).

Values from the calculation:
ΔE_f (raw) ... -8.52 eV per formula unit

Cell and atoms, written as POSCAR:
```
Li2PuInSe4
1.0
4.050 0.000 0.000
0.000 7.043 0.104
0.000 -2.455 6.438
Li Pu In Se
2 1 1 4
Cartesian
2.025 -1.228 3.219
0.000 2.294 3.271
2.025 3.521 0.052
0.000 0.000 0.000
2.025 1.083 1.640
2.025 3.505 4.901
0.000 -0.084 4.806
0.000 4.672 1.736
```

# 14
Entry from Alexandria via LeMat-Bulk: a relaxed LiRuCl2 crystal (PBE).

Values from the calculation:
E above lowest polymorph ... 0.000 eV/atom
ΔE_f (raw) ... -1.87 eV per formula unit

Cell and atoms, written as POSCAR:
```
LiRuCl2
1.0
-0.877 -6.607 4.202
1.921 -7.160 2.668
1.888 -5.419 5.398
Ru Li Cl
1 1 2
Cartesian
0.000 0.000 0.000
1.466 -9.593 6.134
2.637 -17.257 11.034
0.295 -1.929 1.234
```

# 15
Entry from Alexandria via LeMat-Bulk: a relaxed Pu4SbTeAs2 crystal (PBE).

Values from the calculation:
ΔE_f (raw) ... -7.57 eV per formula unit

Cell and atoms, written as POSCAR:
```
Pu4SbTeAs2
1.0
4.272 0.000 0.000
0.000 7.475 -0.177
0.000 2.603 6.924
Pu Sb Te As
4 1 1 2
Cartesian
0.000 7.711 4.989
4.272 2.366 1.758
2.136 6.407 1.552
2.136 3.670 5.194
0.000 5.039 3.373
2.136 3.737 -0.089
0.000 2.603 6.924
2.136 1.301 3.462
```

# 16
Entry from Alexandria via LeMat-Bulk: a relaxed UVW2C4 crystal (PBE).

Values from the calculation:
Calculated formation energy ... -0.043 eV per atom

Cell and atoms, written as POSCAR:
```
UVW2C4
1.0
-1.257 -2.887 -0.497
5.337 -0.200 -2.108
3.646 -3.229 9.536
U V W C
2 2 4 8
Cartesian
3.774 -2.784 6.632
3.952 -3.532 0.299
5.347 -4.997 5.282
2.379 -1.319 1.650
5.510 -2.978 3.371
0.681 -1.978 -0.456
2.217 -3.338 3.560
7.045 -4.338 7.387
2.916 -1.239 -0.179
3.809 -4.191 4.492
4.810 -5.077 7.110
3.917 -2.125 2.439
1.823 -1.614 4.768
0.000 0.000 0.000
6.962 -3.897 5.036
0.764 -2.419 1.895
```

# 17
Entry from Alexandria via LeMat-Bulk: a relaxed Sc4Sn5Hg4 crystal (PBE).

Values from the calculation:
Calculated formation energy ... -0.352 eV per atom

Cell and atoms, written as POSCAR:
```
Sc4Sn5Hg4
1.0
-3.203 3.022 -0.695
-5.601 -3.828 -5.126
-5.673 -1.299 6.200
Sc Sn Hg
4 5 4
Cartesian
-4.954 0.914 -1.792
-9.524 -3.019 2.170
-9.877 -1.322 -3.120
-4.601 -0.784 3.498
-11.194 -2.070 -0.304
-3.284 -0.036 0.683
0.000 0.000 0.000
-6.746 -1.315 -3.222
-7.732 -0.791 3.600
-9.594 -0.018 1.246
-6.361 0.074 1.042
-4.884 -2.088 -0.868
-8.117 -2.179 -0.664
```

# 18
Entry from Alexandria via LeMat-Bulk: a relaxed Li2Zn4Pd crystal (PBE).

Values from the calculation:
Calculated formation energy ... -0.168 eV per atom
E above lowest polymorph ... 0.091 eV/atom

Cell and atoms, written as POSCAR:
```
Li2Zn4Pd
1.0
6.251 0.333 -1.986
-3.259 5.344 -1.987
-0.178 -0.336 6.557
Li Zn Pd
4 8 2
Cartesian
2.223 2.740 0.202
-0.152 1.189 3.370
3.285 1.959 3.491
0.273 4.794 -1.896
1.209 5.137 0.508
1.232 3.265 2.569
1.844 0.659 1.757
4.463 1.772 -0.701
-1.888 3.113 3.602
2.844 4.472 -1.663
-0.238 2.479 -0.781
1.790 0.467 5.041
-0.971 3.923 1.291
2.814 5.340 2.583
```

# 19
Entry from Alexandria via LeMat-Bulk: a relaxed NaNiAs3 crystal (PBE).

Values from the calculation:
Calculated formation energy ... 1.410 eV per atom
E above lowest polymorph ... 1.590 eV/atom

Cell and atoms, written as POSCAR:
```
NaNiAs3
1.0
-4.042 1.556 -2.284
-0.648 -4.467 -1.897
-2.686 -1.264 3.894
Ni As Na
1 3 1
Cartesian
-3.688 -2.087 -0.143
-0.324 -2.234 -0.948
-1.343 -0.632 1.947
-2.021 0.778 -1.142
0.000 0.000 0.000
```

# 20
Entry from Alexandria via LeMat-Bulk: a relaxed AgRhI crystal (PBE).

Values from the calculation:
E above lowest polymorph ... 0.042 eV/atom
ΔE_f (raw) ... 0.57 eV per formula unit

Cell and atoms, written as POSCAR:
```
AgRhI
1.0
8.359 0.000 0.019
0.000 3.908 0.000
-1.548 0.000 9.527
Ag Rh I
4 4 4
Cartesian
1.683 0.000 7.033
2.456 1.954 2.269
0.539 0.000 1.390
-0.235 1.954 6.154
-0.890 0.000 8.166
-0.116 1.954 3.402
1.235 0.000 4.329
0.461 1.954 9.092
6.469 0.000 3.401
5.695 1.954 8.164
3.895 0.000 0.199
3.121 1.954 4.963
```